Computed, not measured: a relaxed CrMoRh2 crystal at the PBE-GGA level of DFT.

Unit cell a=3.832 b=3.831 c=3.821 alpha=90.00 beta=90.00 gamma=90.00
Fractional coordinates of all 4 atoms:
Rh1 0.500 0.500 0.000
Rh2 0.000 0.000 0.000
Mo1 0.000 0.500 0.500
Cr1 0.500 0.000 0.500

Output
- offset from the most stable computed form (kJ/mol of atoms) = 0.3
- DFT formation energy (meV/atom) = -109

---

Computed, not measured: a relaxed MgCu2Tc crystal at the PBE-GGA level of DFT.

Unit cell a=8.995 b=8.995 c=8.995 alpha=17.48 beta=17.48 gamma=17.48
Fractional coordinates of all 4 atoms:
Mg1 0.250 0.250 0.250
Cu1 0.002 0.002 0.002
Cu2 0.498 0.498 0.498
Tc1 0.750 0.750 0.750

Output
- DFT formation energy (meV/atom) = 236

---

Computed, not measured: a relaxed LiTaGa2 crystal at the PBE-GGA level of DFT.

Unit cell a=2.878 b=4.743 c=4.743 alpha=90.00 beta=90.00 gamma=90.00
Fractional coordinates of all 4 atoms:
Ga1 0.000 0.000 0.500
Ga2 0.000 0.500 0.000
Ta1 0.500 0.500 0.500
Li1 0.500 0.000 0.000

Output
- offset from the most stable computed form (kJ/mol of atoms) = 0.0
- DFT formation energy (meV/atom) = -217

---

Computed, not measured: a relaxed Co2Cu2Au crystal at the PBE-GGA level of DFT.

Unit cell a=7.023 b=7.023 c=2.665 alpha=90.00 beta=90.00 gamma=90.00
Fractional coordinates of all 10 atoms:
Co1 0.330 0.170 0.500
Co2 0.170 0.670 0.500
Co3 0.830 0.330 0.500
Co4 0.670 0.830 0.500
Au1 0.500 0.500 0.000
Au2 0.000 0.000 0.000
Cu1 0.875 0.625 0.000
Cu2 0.125 0.375 0.000
Cu3 0.375 0.875 0.000
Cu4 0.625 0.125 0.000

Output
- offset from the most stable computed form (kJ/mol of atoms) = 3.4
- DFT formation energy (meV/atom) = 324

---

Computed, not measured: a relaxed Nd6Sm3Dy2Mg crystal at the PBE-GGA level of DFT.

Unit cell a=6.283 b=6.283 c=11.884 alpha=95.08 beta=95.08 gamma=120.06
Fractional coordinates of all 12 atoms:
Sm1 0.500 0.500 0.500
Sm2 0.167 0.833 0.500
Sm3 0.833 0.167 0.500
Nd1 0.251 0.251 0.753
Nd2 0.749 0.749 0.247
Nd3 0.413 0.081 0.246
Nd4 0.919 0.587 0.754
Nd5 0.081 0.413 0.246
Nd6 0.587 0.919 0.754
Mg1 0.000 0.000 0.000
Dy1 0.667 0.333 0.000
Dy2 0.333 0.667 0.000

Output
- DFT formation energy (meV/atom) = 23

---

Computed, not measured: a relaxed ScNiRh2I crystal at the PBE-GGA level of DFT.

Unit cell a=4.818 b=5.188 c=4.818 alpha=90.00 beta=90.00 gamma=90.00
Fractional coordinates of all 5 atoms:
Rh1 0.000 0.000 0.500
Rh2 0.500 0.000 0.000
Sc1 0.000 0.500 0.000
I1 0.000 0.000 0.000
Ni1 0.500 0.500 0.500

Output
- E_form (uncorrected) (eV/atom) = 1.08

---

Computed, not measured: a relaxed Na2TlVTe crystal at the PBE-GGA level of DFT.

Unit cell a=5.634 b=6.773 c=5.634 alpha=90.00 beta=90.00 gamma=90.00
Fractional coordinates of all 5 atoms:
Tl1 0.000 0.500 0.000
V1 0.500 0.500 0.500
Te1 0.000 0.000 0.000
Na1 0.000 0.000 0.500
Na2 0.500 0.000 0.000

Output
- E_form (uncorrected) (eV/atom) = 0.56

---

Computed, not measured: a relaxed Pr2Er3Tm2 crystal at the PBE-GGA level of DFT.

Unit cell a=5.041 b=6.150 c=7.980 alpha=97.51 beta=90.00 gamma=114.19
Fractional coordinates of all 7 atoms:
Er1 0.643 0.287 0.428
Er2 0.357 0.713 0.572
Er3 0.500 0.000 0.000
Pr1 0.072 0.144 0.717
Pr2 0.928 0.856 0.283
Tm1 0.214 0.427 0.143
Tm2 0.786 0.573 0.857

Output
- offset from the most stable computed form (kJ/mol of atoms) = 0.0
- DFT formation energy (meV/atom) = 26

---

Computed, not measured: a relaxed Mg15Co crystal at the PBE-GGA level of DFT.

Unit cell a=6.248 b=6.248 c=10.178 alpha=90.00 beta=90.00 gamma=120.00
Fractional coordinates of all 16 atoms:
Co1 0.000 0.000 0.500
Mg1 0.995 0.497 0.500
Mg2 0.667 0.333 0.754
Mg3 0.503 0.005 0.500
Mg4 0.667 0.333 0.246
Mg5 0.161 0.322 0.266
Mg6 0.503 0.497 0.500
Mg7 0.498 0.502 0.000
Mg8 0.498 0.996 0.000
Mg9 0.161 0.839 0.266
Mg10 0.678 0.839 0.266
Mg11 0.161 0.322 0.734
Mg12 0.678 0.839 0.734
Mg13 0.000 0.000 0.000
Mg14 0.004 0.502 0.000
Mg15 0.161 0.839 0.734

Output
- DFT formation energy (meV/atom) = 51

---

Computed, not measured: a relaxed PmPaBi2 crystal at the PBE-GGA level of DFT.

Unit cell a=5.500 b=5.500 c=5.500 alpha=60.00 beta=60.00 gamma=60.00
Fractional coordinates of all 4 atoms:
Bi1 0.250 0.250 0.250
Bi2 0.750 0.750 0.750
Pm1 0.500 0.500 0.500
Pa1 0.000 0.000 0.000

Output
- offset from the most stable computed form (kJ/mol of atoms) = 10.8
- DFT formation energy (meV/atom) = -372

---

Computed, not measured: a relaxed ZrCuCl2 crystal at the PBE-GGA level of DFT.

Unit cell a=4.622 b=4.622 c=4.622 alpha=60.00 beta=60.00 gamma=60.00
Fractional coordinates of all 4 atoms:
Cl1 0.750 0.750 0.750
Cl2 0.250 0.250 0.250
Zr1 0.500 0.500 0.500
Cu1 0.000 0.000 0.000

Output
- offset from the most stable computed form (kJ/mol of atoms) = 55.8
- E_form (uncorrected) (eV/atom) = -0.26

---

Computed, not measured: a relaxed NbCdH crystal at the PBE-GGA level of DFT.

Unit cell a=5.299 b=5.955 c=3.191 alpha=74.47 beta=90.02 gamma=63.66
Fractional coordinates of all 6 atoms:
Cd1 0.438 0.739 0.669
Cd2 0.950 0.723 0.178
Nb1 0.336 0.227 0.926
Nb2 0.882 0.223 0.428
H1 0.554 0.159 0.460
H2 0.655 0.313 0.883

Output
- offset from the most stable computed form (kJ/mol of atoms) = 3.9

---

no.,ρ (g/cm³)
1,10.47
2,7.22
3,8.40
4,11.17
5,6.92
6,6.02
7,3.31
8,8.34
9,2.04
10,11.21
11,5.37
12,7.96